# 1
# TaTi2MoH

A geometry-optimized TaTi2MoH structure (PBE, Alexandria).

Its space-group type is P4/mmm (123). As for the offset from the most stable computed form: 0.000 eV/f.u. The energy is -8.41 eV per atom. The theoretical density comes out at 8.9 g/cm³. For the density of states at the Fermi level, the calculation gives 6.6 states/eV/f.u.

a = 3.8606 Å, b = 3.8606 Å, c = 4.6726 Å
α = 90.00°, β = 90.00°, γ = 90.00°
Closest atoms and distances in Å follow each position.
Element x y z (fractional)
H: 0.0000 0.0000 0.0000  4 Ti 1.93
Mo: 0.5000 0.5000 0.5000  4 Ta 2.73, 8 Ti 3.03
Ti: 0.0000 0.5000 0.0000  2 H 1.93
Ti: 0.5000 0.0000 0.0000  2 H 1.93
Ta: 0.0000 0.0000 0.5000  2 H 2.34

***

# 2
# BaY2Cu

A geometry-optimized BaY2Cu structure (PBE, Alexandria).

Its space-group type is Imm2 (44). As for the offset from the most stable computed form: 0.551 eV/f.u. The energy is -4.56 eV per atom. The theoretical density comes out at 5.1 g/cm³. The value obtained for the formation enthalpy at 0 K is 176 meV/atom. For the density of states at the Fermi level, the calculation gives 5.8 states/eV/f.u.

a = 6.8407 Å, b = 6.8407 Å, c = 6.8407 Å
α = 148.00°, β = 132.36°, γ = 58.54°
Closest atoms and distances in Å follow each position.
Element x y z (fractional)
Ba: 0.4555 0.4555 0.0000  2 Cu 3.26, 4 Y 3.57
Cu: 0.2322 0.7322 0.5000  2 Y 2.79
Y: 0.0597 0.0597 0.0000  2 Cu 2.79
Y: 0.7527 0.2527 0.5000  4 Cu 3.35, 2 Y 3.60, 2 Ba 3.67

***

# 3
# CsEr2Te3

A geometry-optimized CsEr2Te3 structure (PBE, Alexandria).

Its space-group type is Cmcm (63). As for the offset from the most stable computed form: 0.000 eV/f.u. The energy is -4.45 eV per atom. The theoretical density comes out at 5.8 g/cm³. Its uncorrected formation energy is -7.3 eV per formula unit. For the density of states at the Fermi level, the calculation gives 3.6 states/eV/f.u.

a = 4.6514 Å, b = 9.1319 Å, c = 11.8375 Å
α = 90.00°, β = 90.00°, γ = 104.75°
Closest atoms and distances in Å follow each position.
Element x y z (fractional)
Cs: 0.2568 0.5137 0.2500  8 Te 3.92-4.18
Cs: 0.7432 0.4863 0.7500  8 Te 3.92-4.18
Er: 0.0000 0.0000 0.0000  6 Te 3.17
Er: 0.0000 0.0000 0.5000  6 Te 3.17
Er: 0.5357 0.0714 0.2500  4 Te 2.89-2.92
Er: 0.4643 0.9286 0.7500  4 Te 2.89-2.92
Te: 0.6192 0.2384 0.0402  3 Er 2.89-3.17
Te: 0.0643 0.1286 0.7500  4 Er 2.92-3.17
Te: 0.6192 0.2384 0.4598  3 Er 2.89-3.17
Te: 0.9357 0.8714 0.2500  4 Er 2.92-3.17
Te: 0.3808 0.7616 0.9598  3 Er 2.89-3.17
Te: 0.3808 0.7616 0.5402  3 Er 2.89-3.17

***

# 4
# SrLiCd3

A geometry-optimized SrLiCd3 structure (PBE, Alexandria).

Its space-group type is Pm-3m (221). As for the offset from the most stable computed form: 0.371 eV/f.u. The energy is -1.42 eV per atom. The theoretical density comes out at 5.5 g/cm³. The value obtained for the formation enthalpy at 0 K is -152 meV/atom. For the density of states at the Fermi level, the calculation gives 2.5 states/eV/f.u.

a = 5.0824 Å, b = 5.0824 Å, c = 5.0824 Å
α = 90.00°, β = 90.00°, γ = 90.00°
Closest atoms and distances in Å follow each position.
Element x y z (fractional)
Sr: 0.5000 0.5000 0.5000  12 Cd 3.59
Li: 0.0000 0.0000 0.0000  6 Cd 2.54
Cd: 0.0000 0.5000 0.0000  2 Li 2.54
Cd: 0.0000 0.0000 0.5000  2 Li 2.54
Cd: 0.5000 0.0000 0.0000  2 Li 2.54

***

# 5
# Rb3AgSe2O8

A geometry-optimized Rb3AgSe2O8 structure (PBE, Alexandria).

Its space-group type is P-3m1 (164). The energy is -4.89 eV per atom. The theoretical density comes out at 4.1 g/cm³. Its uncorrected formation energy is -16.0 eV per formula unit. For the density of states at the Fermi level, the calculation gives 0.0 states/eV/f.u.

a = 6.1425 Å, b = 6.1425 Å, c = 7.9945 Å
α = 90.00°, β = 90.00°, γ = 120.00°
Closest atoms and distances in Å follow each position.
Element x y z (fractional)
Rb: 0.3333 0.6667 0.6739  7 O 2.78-3.08
Rb: 0.6667 0.3333 0.3261  7 O 2.78-3.08
Rb: 0.0000 0.0000 0.0000  6 O 3.12
Ag: 0.0000 0.0000 0.5000  6 O 2.51
Se: 0.3333 0.6667 0.2294  4 O 1.66-1.69
Se: 0.6667 0.3333 0.7706  4 O 1.66-1.69
O: 0.3333 0.6667 0.0220  1 Se 1.66
O: 0.6667 0.3333 0.9780  1 Se 1.66
O: 0.1843 0.8157 0.3033  1 Se 1.69
O: 0.8157 0.1843 0.6967  1 Se 1.69
O: 0.1843 0.3686 0.3033  1 Se 1.69
O: 0.8157 0.6314 0.6967  1 Se 1.69
O: 0.6314 0.8157 0.3033  1 Se 1.69
O: 0.3686 0.1843 0.6967  1 Se 1.69

***

# 6
# Zr2AlZn

A geometry-optimized Zr2AlZn structure (PBE, Alexandria).

Its space-group type is I-42d (122). The energy is -5.49 eV per atom. The theoretical density comes out at 5.6 g/cm³. The value obtained for the formation enthalpy at 0 K is 36 meV/atom. For the density of states at the Fermi level, the calculation gives 2.5 states/eV/f.u.

a = 7.6164 Å, b = 7.6164 Å, c = 6.0691 Å
α = 51.14°, β = 51.14°, γ = 90.00°
Closest atoms and distances in Å follow each position.
Element x y z (fractional)
Zn: 0.0000 0.0000 0.0000  4 Zr 2.75, 2 Al 2.80
Zn: 0.7500 0.2500 0.5000  4 Zr 2.75, 2 Al 2.80
Al: 0.5000 0.5000 0.0000  2 Zn 2.80, 4 Zr 2.82
Al: 0.2500 0.7500 0.5000  2 Zn 2.80, 4 Zr 2.82
Zr: 0.6319 0.1250 0.2500  2 Zn 2.75, 2 Zr 2.80, 2 Al 2.82
Zr: 0.1181 0.6250 0.2500  2 Zn 2.75, 2 Zr 2.80, 2 Al 2.82
Zr: 0.3750 0.3681 0.7500  2 Zn 2.75, 2 Zr 2.80, 2 Al 2.82
Zr: 0.8750 0.8819 0.7500  2 Zn 2.75, 2 Zr 2.80, 2 Al 2.82